(1)
Computed, not measured: a relaxed SmErAu4 crystal at the PBE level of DFT.

Output
ρ = 14.2 g/cm3
formation energy = -0.839 eV per atom
final energy = -27.4 eV for the cell shown

a b c (Å): 3.770 3.770 9.126
angles (deg): 90.00 90.00 90.00
Atoms (fractional coordinates):
Sm 0.000 0.000 0.000
Er 0.500 0.500 0.500
Au 0.500 0.500 0.830
Au 0.500 0.500 0.170
Au 0.000 0.000 0.661
Au 0.000 0.000 0.339



(2)
Computed, not measured: a relaxed TaIn3Cl2O6 crystal at the PBE level of DFT.

Output
ρ = 6.1 g/cm3
final energy = -72.3 eV for the cell shown
uncorrected formation energy = -1.57 eV per atom

a b c (Å): 5.370 6.289 6.464
angles (deg): 119.11 81.24 90.00
Atoms (fractional coordinates):
Ta 0.500 0.000 0.000
In 0.000 0.500 0.000
In 0.500 0.500 0.500
In 0.500 0.000 0.500
Cl 0.157 0.702 0.405
Cl 0.843 0.298 0.595
O 0.710 0.302 0.122
O 0.290 0.698 0.878
O 0.677 0.829 0.659
O 0.323 0.171 0.341
O 0.290 0.179 0.878
O 0.710 0.821 0.122



(3)
Computed, not measured: a relaxed ScHgCl2 crystal at the PBE level of DFT.

Output
ρ = 5.8 g/cm3
distance to the lowest polymorph of the same formula = 0.6300 eV per atom
final energy = -13.4 eV for the cell shown
uncorrected formation energy = -0.76 eV per atom

a b c (Å): 5.032 5.032 5.032
angles (deg): 60.00 60.00 60.00
Atoms (fractional coordinates):
Sc 0.000 0.000 0.000
Hg 0.500 0.500 0.500
Cl 0.250 0.250 0.250
Cl 0.750 0.750 0.750



(4)
Computed, not measured: a relaxed La3Tb6Y crystal at the PBE level of DFT.

Output
ρ = 7.1 g/cm3
formation energy = 0.150 eV per atom
distance to the lowest polymorph of the same formula = 0.0000 eV per atom
final energy = -95.1 eV for the cell shown

a b c (Å): 6.445 11.040 11.040
angles (deg): 120.34 90.00 90.00
Atoms (fractional coordinates):
La 0.472 0.939 0.709
La 0.972 0.709 0.939
La 0.076 0.388 0.612
La 0.576 0.612 0.388
La 0.972 0.061 0.291
La 0.472 0.291 0.061
Tb 0.053 0.718 0.625
Tb 0.553 0.625 0.718
Tb 0.366 0.524 0.946
Tb 0.866 0.946 0.524
Tb 0.360 0.967 0.033
Tb 0.651 0.274 0.726
Tb 0.151 0.726 0.274
Tb 0.860 0.033 0.967
Tb 0.366 0.054 0.476
Tb 0.866 0.476 0.054
Tb 0.053 0.375 0.282
Tb 0.553 0.282 0.375
Y 0.116 0.187 0.813
Y 0.616 0.813 0.187



(5)
Computed, not measured: a relaxed H3Os crystal at the PBE level of DFT.

Output
ρ = 10.1 g/cm3
distance to the lowest polymorph of the same formula = 0.2571 eV per atom
final energy = -19.4 eV for the cell shown

a b c (Å): 2.846 2.617 4.687
angles (deg): 106.21 107.67 90.00
Atoms (fractional coordinates):
H 0.150 0.549 0.300
H 0.500 0.416 0.000
H 0.850 0.249 0.700
Os 0.000 0.953 0.000



(6)
Computed, not measured: a relaxed ZrSc2Be crystal at the PBE level of DFT.

Output
ρ = 4.0 g/cm3
formation energy = -0.007 eV per atom
final energy = -25.0 eV for the cell shown

a b c (Å): 3.176 3.176 7.863
angles (deg): 90.00 90.00 90.00
Atoms (fractional coordinates):
Sc 0.000 0.000 0.954
Sc 0.000 0.000 0.546
Be 0.500 0.500 0.750
Zr 0.500 0.500 0.250



(7)
Computed, not measured: a relaxed V3Pd4 crystal at the PBE level of DFT.

Output
ρ = 9.5 g/cm3
formation energy = -0.163 eV per atom
distance to the lowest polymorph of the same formula = 0.0000 eV per atom
final energy = -49.3 eV for the cell shown

a b c (Å): 4.843 4.843 4.983
angles (deg): 90.00 90.00 120.00
Atoms (fractional coordinates):
V 0.000 0.500 0.000
V 0.500 0.000 0.000
V 0.500 0.500 0.000
Pd 0.000 0.000 0.745
Pd 0.000 0.000 0.255
Pd 0.333 0.667 0.500
Pd 0.667 0.333 0.500



(8)
Computed, not measured: a relaxed NdDy6YTm2 crystal at the PBE level of DFT.

Output
ρ = 8.0 g/cm3
formation energy = 0.119 eV per atom
final energy = -93.2 eV for the cell shown

a b c (Å): 9.492 8.772 8.772
angles (deg): 117.57 93.41 93.41
Atoms (fractional coordinates):
Nd 0.250 0.972 0.028
Nd 0.750 0.028 0.972
Dy 0.056 0.120 0.753
Dy 0.444 0.247 0.880
Dy 0.944 0.880 0.247
Dy 0.556 0.753 0.120
Dy 0.319 0.983 0.437
Dy 0.181 0.563 0.017
Dy 0.681 0.017 0.563
Dy 0.819 0.437 0.983
Dy 0.118 0.708 0.488
Dy 0.382 0.512 0.292
Dy 0.882 0.292 0.512
Dy 0.618 0.488 0.708
Y 0.250 0.409 0.591
Y 0.750 0.591 0.409
Tm 0.453 0.800 0.695
Tm 0.047 0.305 0.200
Tm 0.547 0.200 0.305
Tm 0.953 0.695 0.800